Crystalline CuHW2 at its relaxed geometry. Source: Alexandria via LeMat-Bulk, functional PBE-GGA.

The calculation puts the distance to the lowest polymorph of the same formula at 0 meV/atom. The calculation puts the volume at 12.05 Å³/atom. Its electronic total energy is -7.81 eV/atom.

It has space group I-42d (No. 122), with a = 5.9371 Å, b = 5.9371 Å, c = 5.4690 Å, α = 90.00°, β = 90.00° and γ = 90.00°. The inequivalent atoms are Cu at (0.0000, 0.0000, 0.0000), H at (0.0000, 0.0000, 0.5000) and W at (0.1681, 0.2500, 0.6250).


Crystalline CuHW2 at its relaxed geometry. Source: Alexandria via LeMat-Bulk, functional PBE-GGA.

The calculation puts the distance to the lowest polymorph of the same formula at 421 meV/atom. The calculation puts the volume at 12.47 Å³/atom. Its electronic total energy is -7.39 eV/atom.

It has space group Fm-3m (No. 225), with a = 5.8430 Å, b = 5.8430 Å, c = 5.8430 Å, α = 90.00°, β = 90.00° and γ = 90.00°. The inequivalent atoms are Cu at (0.0000, 0.0000, 0.0000), H at (0.0000, 0.0000, 0.5000) and W at (0.2500, 0.2500, 0.2500).


Crystalline Cu3HW at its relaxed geometry. Source: Alexandria via LeMat-Bulk, functional PBE-GGA.

The calculation puts the distance to the lowest polymorph of the same formula at 1517 meV/atom. The calculation puts the volume at 22.11 Å³/atom. Its electronic total energy is -3.61 eV/atom.

It has space group Pm-3m (No. 221), with a = 4.7991 Å, b = 4.7991 Å, c = 4.7991 Å, α = 90.00°, β = 90.00° and γ = 90.00°. The inequivalent atoms are Cu at (0.0000, 0.0000, 0.5000), H at (0.5000, 0.5000, 0.5000) and W at (0.0000, 0.0000, 0.0000).


Crystalline CuH3W at its relaxed geometry. Source: Alexandria via LeMat-Bulk, functional PBE-GGA.

The calculation puts the distance to the lowest polymorph of the same formula at 147 meV/atom. The calculation puts the volume at 7.20 Å³/atom. Its electronic total energy is -4.70 eV/atom.

It has space group Pm-3m (No. 221), with a = 3.3015 Å, b = 3.3015 Å, c = 3.3015 Å, α = 90.00°, β = 90.00° and γ = 90.00°. The inequivalent atoms are Cu at (0.0000, 0.0000, 0.0000), H at (0.0000, 0.0000, 0.5000) and W at (0.5000, 0.5000, 0.5000).


Crystalline CuH2W at its relaxed geometry. Source: Alexandria via LeMat-Bulk, functional PBE-GGA.

The calculation puts the distance to the lowest polymorph of the same formula at 406 meV/atom. The calculation puts the volume at 8.42 Å³/atom. Its electronic total energy is -5.16 eV/atom.

It has space group Fm-3m (No. 225), with a = 5.1257 Å, b = 5.1257 Å, c = 5.1257 Å, α = 90.00°, β = 90.00° and γ = 90.00°. The inequivalent atoms are Cu at (0.0000, 0.0000, 0.0000), H at (0.2500, 0.2500, 0.2500) and W at (0.0000, 0.0000, 0.5000).


Crystalline Cu3HW at its relaxed geometry. Source: Alexandria via LeMat-Bulk, functional PBE-GGA.

The calculation puts the distance to the lowest polymorph of the same formula at 0 meV/atom. The calculation puts the volume at 10.97 Å³/atom. Its electronic total energy is -5.13 eV/atom.

It has space group Pm-3m (No. 221), with a = 3.7990 Å, b = 3.7990 Å, c = 3.7990 Å, α = 90.00°, β = 90.00° and γ = 90.00°. The inequivalent atoms are Cu at (0.0000, 0.0000, 0.5000), H at (0.0000, 0.0000, 0.0000) and W at (0.5000, 0.5000, 0.5000).


Crystalline CuH3W at its relaxed geometry. Source: Alexandria via LeMat-Bulk, functional PBE-GGA.

The calculation puts the distance to the lowest polymorph of the same formula at 0 meV/atom. The calculation puts the volume at 8.46 Å³/atom. Its electronic total energy is -4.85 eV/atom.

It has space group Pm-3m (No. 221), with a = 3.4837 Å, b = 3.4837 Å, c = 3.4837 Å, α = 90.00°, β = 90.00° and γ = 90.00°. The inequivalent atoms are Cu at (0.0000, 0.0000, 0.0000), H at (0.0000, 0.5000, 0.5000) and W at (0.5000, 0.5000, 0.5000).


Crystalline CuH2W at its relaxed geometry. Source: Alexandria via LeMat-Bulk, functional PBE-GGA.

The calculation puts the distance to the lowest polymorph of the same formula at 0 meV/atom. The calculation puts the volume at 8.90 Å³/atom. Its electronic total energy is -5.56 eV/atom.

It has space group I-42d (No. 122), with a = 4.3190 Å, b = 4.3190 Å, c = 7.6342 Å, α = 90.00°, β = 90.00° and γ = 90.00°. The inequivalent atoms are Cu at (0.0000, 0.0000, 0.0000), H at (0.2345, 0.2500, 0.1250) and W at (0.0000, 0.0000, 0.5000).


Crystalline Cu5H12W3 at its relaxed geometry. Source: Alexandria via LeMat-Bulk, functional PBE-GGA.

The calculation puts the volume at 7.57 Å³/atom. Its electronic total energy is -4.64 eV/atom.

It has space group Ia-3d (No. 230), with a = 10.6588 Å, b = 10.6588 Å, c = 10.6588 Å, α = 90.00°, β = 90.00° and γ = 90.00°. The inequivalent atoms are Cu at (0.0000, 0.0000, 0.0000), Cu at (0.0000, 0.2500, 0.3750), H at (0.0166, 0.0714, 0.6564) and W at (0.0000, 0.2500, 0.1250).


Crystalline Y2CuH at its relaxed geometry. Source: Alexandria via LeMat-Bulk, functional PBE-GGA.

The calculation puts the distance to the lowest polymorph of the same formula at 244 meV/atom. The calculation puts the volume at 19.49 Å³/atom. Its electronic total energy is -5.05 eV/atom.

It has space group Fm-3m (No. 225), with a = 6.7813 Å, b = 6.7813 Å, c = 6.7813 Å, α = 90.00°, β = 90.00° and γ = 90.00°. The inequivalent atoms are Y at (0.2500, 0.2500, 0.2500), Cu at (0.0000, 0.0000, 0.0000) and H at (0.0000, 0.0000, 0.5000).


Crystalline Y2CuH2 at its relaxed geometry. Source: Alexandria via LeMat-Bulk, functional PBE-GGA.

The calculation puts the volume at 15.67 Å³/atom. Its electronic total energy is -5.24 eV/atom.

It has space group I4/mmm (No. 139), with a = 3.5648 Å, b = 3.5648 Å, c = 12.3342 Å, α = 90.00°, β = 90.00° and γ = 90.00°. The inequivalent atoms are Y at (0.0000, 0.0000, 0.1431), Cu at (0.0000, 0.0000, 0.5000) and H at (0.0000, 0.5000, 0.2500).


Crystalline Y2CuH at its relaxed geometry. Source: Alexandria via LeMat-Bulk, functional PBE-GGA.

The calculation puts the distance to the lowest polymorph of the same formula at 0 meV/atom. The calculation puts the volume at 19.93 Å³/atom. Its electronic total energy is -5.29 eV/atom.

It has space group I-42d (No. 122), with a = 6.5546 Å, b = 6.5546 Å, c = 7.4208 Å, α = 90.00°, β = 90.00° and γ = 90.00°. The inequivalent atoms are Y at (0.1779, 0.2500, 0.1250), Cu at (0.0000, 0.0000, 0.5000) and H at (0.0000, 0.0000, 0.0000).


Crystalline Y2CuH at its relaxed geometry. Source: Alexandria via LeMat-Bulk, functional PBE-GGA.

The calculation puts the distance to the lowest polymorph of the same formula at 34 meV/atom. The calculation puts the volume at 19.86 Å³/atom. Its electronic total energy is -5.26 eV/atom.

It has space group R-3m (No. 166, hexagonal axes), with a = 3.7727 Å, b = 3.7727 Å, c = 19.3313 Å, α = 90.00°, β = 90.00° and γ = 120.00°. The inequivalent atoms are Y at (0.0000, 0.0000, 0.2384), Cu at (0.0000, 0.0000, 0.0000) and H at (0.0000, 0.0000, 0.5000).


Crystalline YCuH at its relaxed geometry. Source: Alexandria via LeMat-Bulk, functional PBE-GGA.

The calculation puts the volume at 16.27 Å³/atom. Its electronic total energy is -4.93 eV/atom.

It has space group R-3m (No. 166, hexagonal axes), with a = 3.7599 Å, b = 3.7599 Å, c = 23.9254 Å, α = 90.00°, β = 90.00° and γ = 120.00°. The inequivalent atoms are Y at (0.0000, 0.0000, 0.2269), Cu at (0.0000, 0.0000, 0.3562) and H at (0.0000, 0.0000, 0.1340).


Crystalline Y2ZnCuH at its relaxed geometry. Source: Alexandria via LeMat-Bulk, functional PBE-GGA.

The calculation puts the distance to the lowest polymorph of the same formula at 72 meV/atom. The calculation puts the volume at 17.90 Å³/atom. Its electronic total energy is -4.58 eV/atom.

It has space group P4/mmm (No. 123), with a = 4.8786 Å, b = 4.8786 Å, c = 3.7601 Å, α = 90.00°, β = 90.00° and γ = 90.00°. The inequivalent atoms are Y at (0.0000, 0.5000, 0.0000), Zn at (0.0000, 0.0000, 0.5000), Cu at (0.5000, 0.5000, 0.5000) and H at (0.0000, 0.0000, 0.0000).


Crystalline Y2ZnCuH at its relaxed geometry. Source: Alexandria via LeMat-Bulk, functional PBE-GGA.

The calculation puts the distance to the lowest polymorph of the same formula at 0 meV/atom. The calculation puts the volume at 17.80 Å³/atom. Its electronic total energy is -4.65 eV/atom.

It has space group P4/mmm (No. 123), with a = 4.9058 Å, b = 4.9058 Å, c = 3.6983 Å, α = 90.00°, β = 90.00° and γ = 90.00°. The inequivalent atoms are Y at (0.0000, 0.5000, 0.0000), Zn at (0.0000, 0.0000, 0.5000), Cu at (0.5000, 0.5000, 0.5000) and H at (0.5000, 0.5000, 0.0000).


Crystalline ZnCuH at its relaxed geometry. Source: Alexandria via LeMat-Bulk, functional PBE-GGA.

The calculation puts the distance to the lowest polymorph of the same formula at 356 meV/atom. The calculation puts the volume at 12.33 Å³/atom. Its electronic total energy is -2.43 eV/atom.

It has space group I4mm (No. 107), with a = 3.5176 Å, b = 3.5176 Å, c = 5.9799 Å, α = 90.00°, β = 90.00° and γ = 90.00°. The inequivalent atoms are Zn at (0.0000, 0.0000, 0.0000), Cu at (0.0000, 0.0000, 0.5718) and H at (0.0000, 0.0000, 0.3072).


Crystalline ZnCu2H2 at its relaxed geometry. Source: Alexandria via LeMat-Bulk, functional PBE-GGA.

The calculation puts the distance to the lowest polymorph of the same formula at 0 meV/atom. The calculation puts the volume at 9.20 Å³/atom. Its electronic total energy is -3.00 eV/atom.

It has space group I4/mmm (No. 139), with a = 3.1026 Å, b = 3.1026 Å, c = 9.5563 Å, α = 90.00°, β = 90.00° and γ = 90.00°. The inequivalent atoms are Zn at (0.0000, 0.0000, 0.0000), Cu at (0.0000, 0.0000, 0.3478) and H at (0.0000, 0.5000, 0.2500).


Crystalline ZnCuH at its relaxed geometry. Source: Alexandria via LeMat-Bulk, functional PBE-GGA.

The calculation puts the distance to the lowest polymorph of the same formula at 137 meV/atom. The calculation puts the volume at 10.75 Å³/atom. Its electronic total energy is -2.65 eV/atom.

It has space group C2/m (No. 12), with a = 12.7803 Å, b = 3.8803 Å, c = 2.6068 Å, α = 90.00°, β = 93.45° and γ = 90.00°. The inequivalent atoms are Zn at (0.1944, 0.0000, 0.2214), Cu at (0.0959, 0.5000, 0.6873) and H at (0.0327, 0.0000, 0.5320).


Crystalline Zn2CuH at its relaxed geometry. Source: Alexandria via LeMat-Bulk, functional PBE-GGA.

The calculation puts the distance to the lowest polymorph of the same formula at 0 meV/atom. The calculation puts the volume at 11.78 Å³/atom. Its electronic total energy is -2.21 eV/atom.

It has space group I-42d (No. 122), with a = 6.0576 Å, b = 6.0576 Å, c = 5.1381 Å, α = 90.00°, β = 90.00° and γ = 90.00°. The inequivalent atoms are Zn at (0.1753, 0.2500, 0.1250), Cu at (0.0000, 0.0000, 0.5000) and H at (0.0000, 0.0000, 0.0000).